[1]
A plane-wave DFT calculation with PBE was carried out for a geometry-optimized Y8OsPd2 structure.

Output
The value obtained for the formation energy is -0.39 eV/atom. The calculation puts the magnetization at 0.000 μB/cell. As for the calculated density: 6.417 g cm⁻³.

```
Y8OsPd2
1.0
-2.102 4.641 0.270
-5.630 -2.708 2.731
6.312 -0.321 6.445
Y Pd Os
8 2 1
Direct
0.200 0.313 0.401 Y
0.664 0.968 0.329 Y
0.032 0.796 0.064 Y
0.800 0.687 0.599 Y
0.410 0.564 0.819 Y
0.336 0.032 0.671 Y
0.968 0.204 0.936 Y
0.590 0.436 0.181 Y
0.188 0.712 0.375 Pd
0.812 0.288 0.625 Pd
0.500 0.000 0.000 Os
```

[2]
A plane-wave DFT calculation with PBE was carried out for a geometry-optimized AcLuTlIn structure.

Output
The value obtained for the formation energy is -0.32 eV/atom. The calculation puts the magnetization at 0.000 μB/cell. As for the calculated density: 9.833 g cm⁻³.

```
AcLuTlIn
1.0
5.564 0.000 0.000
2.782 4.818 0.000
2.782 1.606 4.543
In Tl Ac Lu
1 1 1 1
Direct
0.500 0.500 0.500 In
0.000 0.000 0.000 Tl
0.750 0.750 0.750 Ac
0.250 0.250 0.250 Lu
```

[3]
A plane-wave DFT calculation with PBE was carried out for a geometry-optimized InSn3Pd3 structure.

Output
The value obtained for the formation energy is -0.40 eV/atom. The calculation puts the magnetization at 0.000 μB/cell. As for the calculated density: 8.514 g cm⁻³.

```
InSn3Pd3
1.0
6.786 0.256 2.295
1.726 6.568 2.295
0.320 0.256 7.157
Sn Pd In
6 6 2
Direct
0.878 0.188 0.598 Sn
0.122 0.812 0.402 Sn
0.598 0.878 0.188 Sn
0.402 0.122 0.812 Sn
0.188 0.598 0.878 Sn
0.812 0.402 0.122 Sn
0.709 0.050 0.403 Pd
0.291 0.950 0.597 Pd
0.950 0.597 0.291 Pd
0.597 0.291 0.950 Pd
0.050 0.403 0.709 Pd
0.403 0.709 0.050 Pd
0.667 0.667 0.667 In
0.333 0.333 0.333 In
```

[4]
A plane-wave DFT calculation with PBE was carried out for a geometry-optimized Mn2CdI structure.

Output
The calculation puts the magnetization at 0.001 μB/cell. The calculation puts the formation energy (no corrections) at 1.15 eV per atom. As for the calculated density: 9.072 g cm⁻³.

```
Mn2CdI
1.0
-2.478 -2.758 2.528
-3.080 1.681 2.798
-4.367 -0.538 -0.885
Cd Mn I
1 2 1
Direct
0.000 0.000 0.000 Cd
0.250 0.250 0.250 Mn
0.750 0.750 0.750 Mn
0.500 0.500 0.500 I
```

Question: Among the records above, which one has the highest calculated density?
Answer: AcLuTlIn